No. 1
A plane-wave DFT calculation with meta-GGA SCAN was carried out for a crystal of Ni3Pt relaxed with PBEsol.

Calculated values
Energy relative to the elements: -0.038 eV/atom

Unit cell a=2.606 b=4.131 c=4.364 alpha=90.00 beta=90.00 gamma=90.00
Each line ends with the local moment (μB).
Sites, in units of the cell vectors:
Ni  0.000  0.000  0.989  0.90
Ni  0.500  0.500  0.836  0.84
Pt  0.000  0.500  0.336  0.34
Ni  0.500  0.000  0.506  0.96

No. 2
A plane-wave DFT calculation with meta-GGA SCAN was carried out for a crystal of Ni5Pt7 relaxed with PBEsol.

Calculated values
Energy relative to the elements: -0.080 eV/atom
E above lowest polymorph: 0.068 eV/atom

Unit cell a=2.693 b=7.472 c=7.964 alpha=90.00 beta=90.00 gamma=90.00
Each line ends with the local moment (μB).
Sites, in units of the cell vectors:
Ni  0.000  0.262  0.000  0.96
Pt  0.500  0.000  0.838  0.22
Pt  0.000  0.254  0.325  0.24
Pt  0.500  0.500  0.500  0.18
Pt  0.000  0.746  0.675  0.24
Pt  0.500  0.000  0.162  0.22
Ni  0.500  0.500  0.152  1.07
Ni  0.000  0.738  0.000  0.96
Ni  0.500  0.500  0.848  1.07
Pt  0.000  0.746  0.325  0.24
Ni  0.500  0.000  0.500  1.21
Pt  0.000  0.254  0.675  0.24

No. 3
A plane-wave DFT calculation with meta-GGA SCAN was carried out for a crystal of NiPt2 relaxed with PBEsol.

Calculated values
Energy relative to the elements: -0.094 eV/atom

Unit cell a=3.788 b=3.788 c=11.705 alpha=99.31 beta=99.31 gamma=90.00
Each line ends with the local moment (μB).
Sites, in units of the cell vectors:
Ni  0.165  0.165  0.331  1.04
Ni  0.835  0.835  0.669  1.04
Pt  0.000  0.000  0.000  0.32
Pt  0.250  0.750  0.500  0.32
Pt  0.585  0.085  0.171  0.40
Pt  0.750  0.250  0.500  0.23
Pt  0.665  0.665  0.329  0.40
Pt  0.915  0.415  0.829  0.40
Pt  0.500  0.500  0.000  0.23
Pt  0.335  0.335  0.671  0.40
Ni  0.085  0.585  0.169  1.04
Ni  0.415  0.915  0.831  1.04

Look up the energy relative to the elements of the third one.
-0.094 eV/atom